Computed, not measured: a relaxed Pm3Dy6Tm2Zr crystal at the GGA-PBE level of DFT. Values from VASP.

Values from the calculation:
Formation energy = 0.04 eV per atom
ρ = 8.2 g/cm3
Size of the total moment = 0.00 μB per formula unit
Symmetry = C2/m

Quantum ESPRESSO input file:
```
&SYSTEM
  ibrav = 0, nat = 12, ntyp = 4
/
ATOMIC_SPECIES
Pm 145.00 Pm.upf
Dy 162.50 Dy.upf
Tm 168.93 Tm.upf
Zr 91.22 Zr.upf
CELL_PARAMETERS angstrom
3.057 -5.286 0.000
3.057 5.286 0.000
-2.022 0.000 11.493
ATOMIC_POSITIONS crystal
Pm 0.000 0.000 0.000
Pm 0.334 0.666 0.000
Pm 0.666 0.334 0.000
Dy 0.093 0.420 0.259
Dy 0.254 0.254 0.741
Dy 0.420 0.093 0.259
Dy 0.580 0.907 0.741
Dy 0.746 0.746 0.259
Dy 0.907 0.580 0.741
Tm 0.167 0.833 0.500
Tm 0.833 0.167 0.500
Zr 0.500 0.500 0.500
```

Computed, not measured: a relaxed Sc2BeSi2 crystal at the GGA-PBE level of DFT. Values from VASP.

Values from the calculation:
Excess energy over the best structure of this formula in the dataset = 0.0000 eV/atom
ρ = 3.2 g/cm3
Size of the total moment = 0.00 μB per formula unit
Symmetry = C2/m

Quantum ESPRESSO input file:
```
&SYSTEM
  ibrav = 0, nat = 10, ntyp = 3
/
ATOMIC_SPECIES
Sc 44.96 Sc.upf
Be 9.01 Be.upf
Si 28.09 Si.upf
CELL_PARAMETERS angstrom
4.913 -1.912 0.000
4.913 1.912 0.000
-4.575 0.000 8.676
ATOMIC_POSITIONS crystal
Sc 0.100 0.100 0.404
Sc 0.298 0.298 0.849
Sc 0.702 0.702 0.151
Sc 0.900 0.900 0.596
Be 0.432 0.432 0.187
Be 0.568 0.568 0.813
Si 0.043 0.043 0.908
Si 0.374 0.374 0.382
Si 0.626 0.626 0.618
Si 0.957 0.957 0.092
```

Computed, not measured: a relaxed Y2Zn12CdCu3 crystal at the GGA-PBE level of DFT. Values from VASP.

Values from the calculation:
Formation energy = 0.24 eV per atom
ρ = 5.4 g/cm3
Size of the total moment = 0.00 μB per formula unit
Symmetry = R-3m

Quantum ESPRESSO input file:
```
&SYSTEM
  ibrav = 0, nat = 18, ntyp = 4
/
ATOMIC_SPECIES
Y 88.91 Y.upf
Zn 65.41 Zn.upf
Cd 112.41 Cd.upf
Cu 63.55 Cu.upf
CELL_PARAMETERS angstrom
4.099 2.367 6.742
-4.099 2.367 6.742
0.000 -4.734 6.742
ATOMIC_POSITIONS crystal
Y 0.093 0.093 0.093
Y 0.907 0.907 0.907
Zn 0.020 0.665 0.665
Zn 0.160 0.160 0.638
Zn 0.160 0.638 0.160
Zn 0.335 0.335 0.980
Zn 0.335 0.980 0.335
Zn 0.362 0.840 0.840
Zn 0.638 0.160 0.160
Zn 0.665 0.020 0.665
Zn 0.665 0.665 0.020
Zn 0.840 0.362 0.840
Zn 0.840 0.840 0.362
Zn 0.980 0.335 0.335
Cd 0.500 0.500 0.500
Cu 0.000 0.500 0.500
Cu 0.500 0.000 0.500
Cu 0.500 0.500 0.000
```

Computed, not measured: a relaxed Tb2HoO crystal at the GGA-PBE level of DFT. Values from VASP.

Values from the calculation:
Excess energy over the best structure of this formula in the dataset = 0.0000 eV/atom
ρ = 8.8 g/cm3
Size of the total moment = 0.00 μB per formula unit
Symmetry = R-3m

Quantum ESPRESSO input file:
```
&SYSTEM
  ibrav = 0, nat = 12, ntyp = 3
/
ATOMIC_SPECIES
Tb 158.93 Tb.upf
Ho 164.93 Ho.upf
O 16.00 O.upf
CELL_PARAMETERS angstrom
3.539 0.000 0.000
-1.770 3.065 0.000
0.000 0.000 26.070
ATOMIC_POSITIONS crystal
Tb 0.000 0.000 0.219
Tb 0.000 0.000 0.781
Tb 0.333 0.667 0.447
Tb 0.333 0.667 0.886
Tb 0.667 0.333 0.114
Tb 0.667 0.333 0.553
Ho 0.000 0.000 0.000
Ho 0.333 0.667 0.667
Ho 0.667 0.333 0.333
O 0.000 0.000 0.500
O 0.333 0.667 0.167
O 0.667 0.333 0.833
```

Computed, not measured: a relaxed NiTe2Ru crystal at the GGA-PBE level of DFT. Values from VASP.

Values from the calculation:
Excess energy over the best structure of this formula in the dataset = 0.2723 eV/atom
ρ = 7.1 g/cm3
Size of the total moment = 0.68 μB per formula unit
Symmetry = R-3m

Quantum ESPRESSO input file:
```
&SYSTEM
  ibrav = 0, nat = 12, ntyp = 3
/
ATOMIC_SPECIES
Ni 58.69 Ni.upf
Te 127.60 Te.upf
Ru 101.07 Ru.upf
CELL_PARAMETERS angstrom
3.771 0.000 0.000
-1.885 3.265 0.000
0.000 0.000 23.666
ATOMIC_POSITIONS crystal
Ni 0.000 0.000 0.000
Ni 0.333 0.667 0.667
Ni 0.667 0.333 0.333
Te 0.000 0.000 0.102
Te 0.000 0.000 0.898
Te 0.333 0.667 0.564
Te 0.333 0.667 0.769
Te 0.667 0.333 0.231
Te 0.667 0.333 0.436
Ru 0.000 0.000 0.500
Ru 0.333 0.667 0.167
Ru 0.667 0.333 0.833
```